Density functional theory data (PBE) for a relaxed structure of PrSnPbAu.

Cell: 7.6048 7.6048 7.6048 Å, 90.00 90.00 90.00°
Last column: nearest neighbours and their distance in Å.
Fractional coordinates of all 16 atoms:
Pr 0.0000 0.0000 0.0000  4 Au 3.29, 4 Sn 3.29
Pr 0.0000 0.5000 0.5000  4 Au 3.29, 4 Sn 3.29
Pr 0.5000 0.0000 0.5000  4 Au 3.29, 4 Sn 3.29
Pr 0.5000 0.5000 0.0000  4 Au 3.29, 4 Sn 3.29
Sn 0.2500 0.2500 0.7500  4 Pb 3.29, 4 Pr 3.29
Sn 0.2500 0.7500 0.2500  4 Pb 3.29, 4 Pr 3.29
Sn 0.7500 0.2500 0.2500  4 Pb 3.29, 4 Pr 3.29
Sn 0.7500 0.7500 0.7500  4 Pb 3.29, 4 Pr 3.29
Pb 0.0000 0.0000 0.5000  4 Sn 3.29, 4 Au 3.29
Pb 0.0000 0.5000 0.0000  4 Sn 3.29, 4 Au 3.29
Pb 0.5000 0.0000 0.0000  4 Sn 3.29, 4 Au 3.29
Pb 0.5000 0.5000 0.5000  4 Sn 3.29, 4 Au 3.29
Au 0.2500 0.2500 0.2500  4 Pb 3.29, 4 Pr 3.29
Au 0.2500 0.7500 0.7500  4 Pb 3.29, 4 Pr 3.29
Au 0.7500 0.2500 0.7500  4 Pb 3.29, 4 Pr 3.29
Au 0.7500 0.7500 0.2500  4 Pb 3.29, 4 Pr 3.29

Values from the calculation:
For the size of the total moment, the calculation gives 0.00 μB per formula unit. Its formation energy is -0.37 eV per atom. The calculation puts the density of states at the Fermi level at 12.8 states/eV/cell. The space group is F-43m, No. 216. The calculation puts the volume at 27.49 Å³ per atom.

=====

Density functional theory data (PBE) for a relaxed structure of Sr5CeAs4.

Cell: 9.8943 9.8943 8.7295 Å, 103.79 103.79 26.26°
Last column: nearest neighbours and their distance in Å.
Fractional coordinates of all 10 atoms:
Sr 0.0000 0.0000 0.0000  4 As 3.20
Sr 0.3314 0.3314 0.6411  4 As 3.08-3.17
Sr 0.3392 0.3392 0.1752  3 As 3.01-3.05
Sr 0.6608 0.6608 0.8248  3 As 3.01-3.05
Sr 0.6686 0.6686 0.3589  4 As 3.08-3.17
Ce 0.0000 0.0000 0.5000  6 As 3.05-3.07
As 0.1634 0.1634 0.5963  5 Sr 3.01-3.17, 1 Ce 3.05
As 0.4976 0.4976 0.7379  4 Sr 3.05-3.20, 2 Ce 3.07
As 0.5024 0.5024 0.2621  4 Sr 3.05-3.20, 2 Ce 3.07
As 0.8366 0.8366 0.4037  5 Sr 3.01-3.17, 1 Ce 3.05

Values from the calculation:
For the size of the total moment, the calculation gives 1.88 μB per formula unit. Its formation energy is -1.03 eV per atom. The calculation puts the density of states at the Fermi level at 5.7 states/eV/cell. The space group is C2/m, No. 12. The calculation puts the volume at 36.66 Å³ per atom.

=====

Density functional theory data (PBE) for a relaxed structure of YSbSe2.

Cell: 4.0176 4.2406 6.1640 Å, 90.00 90.00 90.00°
Last column: nearest neighbours and their distance in Å.
Fractional coordinates of all 4 atoms:
Y 0.0000 0.0000 0.0000  5 Se 2.88-2.98
Sb 0.5000 0.5000 0.4279  6 Se 2.93-3.22
Se 0.0000 0.0000 0.4667  1 Y 2.88, 4 Sb 2.93
Se 0.5000 0.5000 0.9055  2 Sb 2.94-3.22, 4 Y 2.98

Values from the calculation:
For the size of the total moment, the calculation gives 0.00 μB per formula unit. The calculation puts the density of states at the Fermi level at 1.9 states/eV/cell. The space group is Pmm2, No. 25. The calculation puts the volume at 26.25 Å³ per atom. The value obtained for the formation energy (no corrections) is -0.8484 eV/atom.